! Ti2H2Pd PBE optimized geometry; values from VASP
&SYSTEM
  ibrav = 0, nat = 5, ntyp = 3
/
ATOMIC_SPECIES
H 1.01 H.upf
Ti 47.87 Ti.upf
Pd 106.42 Pd.upf
ATOMIC_POSITIONS angstrom
H 9.687 3.125 0.000
H 2.223 0.717 0.000
Ti 7.853 2.533 0.000
Ti 4.057 1.309 0.000
Pd 0.000 0.000 0.000
CELL_PARAMETERS angstrom
6.572 0.007 0.000
5.338 3.835 0.000
-5.955 -1.921 2.011
! Space group: I4/mmm (139)
! Total moment in μB per formula unit: 0.00
! VASP energy in eV/atom: -6.028